A relaxed SiSBr2 crystal, computed with PBEsol.

Properties
DOS at the Fermi energy: 4.2 states/eV per cell
Raw formation energy: 0.606 eV per atom
SG: Fm-3m, No. 225
Theoretical density: 4.56 g/cm3
VASP energy: -2.86 eV/atom
Spin magnetization: 0.01 μB per formula unit

Cell lengths 4.838, 4.838, 4.838 Å; angles 60.00, 60.00, 60.00 degrees
Fractional coordinates of all 4 atoms:
S  0.500  0.500  0.500
Si  0.000  0.000  0.000
Br  0.250  0.250  0.250
Br  0.750  0.750  0.750

A relaxed Zr3Cu crystal, computed with PBEsol.

Properties
DOS at the Fermi energy: 3.0 states/eV per cell
Energy of formation from the pure elements: -0.083 eV/atom
SG: P4/mmm, No. 123
Theoretical density: 7.18 g/cm3
VASP energy: -7.98 eV/atom
Spin magnetization: 0.00 μB per formula unit

Cell lengths 3.147, 3.147, 7.882 Å; angles 90.00, 90.00, 90.00 degrees
Fractional coordinates of all 4 atoms:
Zr  0.500  0.500  0.220
Zr  0.500  0.500  0.780
Zr  0.000  0.000  0.500
Cu  0.000  0.000  0.000

A relaxed Ti2Be2Zn crystal, computed with PBEsol.

Properties
DOS at the Fermi energy: 4.5 states/eV per cell
Energy of formation from the pure elements: -0.190 eV/atom
SG: P4/mbm, No. 127
Theoretical density: 4.74 g/cm3
VASP energy: -5.44 eV/atom
Spin magnetization: 0.00 μB per formula unit

Cell lengths 3.614, 5.894, 5.894 Å; angles 90.00, 90.00, 90.00 degrees
Fractional coordinates of all 10 atoms:
Be  0.000  0.372  0.872
Be  0.000  0.128  0.372
Be  0.000  0.628  0.128
Be  0.000  0.872  0.628
Ti  0.500  0.332  0.168
Ti  0.500  0.668  0.832
Ti  0.500  0.832  0.332
Ti  0.500  0.168  0.668
Zn  0.000  0.500  0.500
Zn  0.000  0.000  0.000